# 1
Below is a relaxed structure of K2CdSnAu2, with properties calculated at the PBE level.

a b c (Å): 7.556 6.911 8.851
angles (deg): 112.98 115.27 90.00
Positions (direct):
Au1 0.917 0.160 0.834
Au2 0.417 0.674 0.834
Au3 0.583 0.326 0.166
Au4 0.083 0.840 0.166
K1 0.179 0.443 0.359
K2 0.821 0.557 0.641
K3 0.321 0.084 0.641
K4 0.679 0.916 0.359
Sn1 0.250 0.000 0.000
Sn2 0.750 0.000 0.000
Cd1 0.250 0.500 0.000
Cd2 0.750 0.500 0.000

Formation enthalpy at 0 K (kcal/mol of atoms): -6.1
Calculated volume (Å³/cell): 377
Total magnetization (Bohr magnetons per cell): 0.0

***

# 2
Below is a relaxed structure of KCdSnAu, with properties calculated at the PBE level.

a b c (Å): 4.835 4.835 6.836
angles (deg): 69.29 69.29 60.00
Positions (direct):
Sn1 0.011 0.011 0.968
Cd1 0.275 0.275 0.176
Au1 0.629 0.629 0.113
K1 0.812 0.812 0.565

Formation enthalpy at 0 K (kcal/mol of atoms): -5.2
Calculated volume (Å³/cell): 126
Total magnetization (Bohr magnetons per cell): 0.0

***

# 3
Below is a relaxed structure of KCdSn2Au, with properties calculated at the PBE level.

a b c (Å): 4.910 4.910 6.863
angles (deg): 110.96 110.96 90.00
Positions (direct):
Sn1 0.623 0.623 0.247
Sn2 0.377 0.377 0.753
Cd1 0.250 0.750 0.500
K1 0.000 0.000 0.000
Au1 0.750 0.250 0.500

Formation enthalpy at 0 K (kcal/mol of atoms): -4.3
Calculated volume (Å³/cell): 143
Total magnetization (Bohr magnetons per cell): 0.0

***

# 4
Below is a relaxed structure of K2Cd3Sn4Au, with properties calculated at the PBE level.

a b c (Å): 4.882 4.882 12.280
angles (deg): 90.00 90.00 90.00
Positions (direct):
Sn1 0.500 0.000 0.623
Sn2 0.000 0.500 0.377
Sn3 0.000 0.000 0.000
Sn4 0.500 0.500 0.000
K1 0.500 0.000 0.261
K2 0.000 0.500 0.739
Cd1 0.500 0.000 0.856
Cd2 0.000 0.000 0.500
Cd3 0.000 0.500 0.144
Au1 0.500 0.500 0.500

Formation enthalpy at 0 K (kcal/mol of atoms): -3.8
Calculated volume (Å³/cell): 293
Total magnetization (Bohr magnetons per cell): 0.0

***

# 5
Below is a relaxed structure of KCd2SnAu4, with properties calculated at the PBE level.

a b c (Å): 5.083 5.083 9.205
angles (deg): 73.97 73.97 60.00
Positions (direct):
Au1 0.391 0.391 0.826
Au2 0.609 0.609 0.174
Au3 0.834 0.834 0.499
Au4 0.166 0.166 0.501
Cd1 0.274 0.274 0.179
Cd2 0.726 0.726 0.821
K1 0.000 0.000 0.000
Sn1 0.500 0.500 0.500

Formation enthalpy at 0 K (kcal/mol of atoms): -2.4
Calculated volume (Å³/cell): 195
Total magnetization (Bohr magnetons per cell): 0.0

***

# 6
Below is a relaxed structure of KCdSn2Au4, with properties calculated at the PBE level.

a b c (Å): 4.796 4.796 10.540
angles (deg): 76.85 76.85 60.00
Positions (direct):
Au1 0.407 0.407 0.780
Au2 0.593 0.593 0.220
Au3 0.853 0.853 0.441
Au4 0.147 0.147 0.559
Cd1 0.500 0.500 0.500
K1 0.000 0.000 0.000
Sn1 0.756 0.756 0.732
Sn2 0.244 0.244 0.268

Formation enthalpy at 0 K (kcal/mol of atoms): -4.3
Calculated volume (Å³/cell): 203
Total magnetization (Bohr magnetons per cell): 0.0

***

no.,N(E_F) (states/eV/cell)
1,4.62
2,1.62
3,3.28
4,4.24
5,1.98
6,2.74